A plane-wave DFT calculation with PBE was carried out for CsSmHgTe3 after structural relaxation.

```
CsSmHgTe3
1.0
10.2964 -2.3000 0.0000
10.2964 2.3000 0.0000
-1.8364 0.0000 9.9417
Cs Sm Hg Te
2 2 2 6
direct
0.1461 0.1461 0.0643
0.8539 0.8539 0.9357
0.1705 0.1705 0.5662
0.8295 0.8295 0.4338
0.4754 0.4754 0.2804
0.5246 0.5246 0.7196
0.0000 0.0000 0.5000
0.3236 0.3236 0.6390
0.3321 0.3321 0.2236
0.5000 0.5000 0.0000
0.6679 0.6679 0.7764
0.6764 0.6764 0.3610
```

## Properties
Total DFT energy (no corrections)   -3.43 eV per atom
Energy above the most stable polymorph in this dataset   134 meV per atom
Density   6113 kg/m³
Symmetry   No. 12